(1)
Y3Cu3Pt | PBE-GGA | optimized geometry

Lattice parameters (Å, degrees): 5.4286 5.4286 14.2157 90.00 90.00 137.15
Element x y z (fractional)
Y: 0.0448 0.9552 0.7500
Y: 0.3288 0.6712 0.5941
Y: 0.3288 0.6712 0.9059
Y: 0.6712 0.3288 0.0941
Y: 0.6712 0.3288 0.4059
Y: 0.9552 0.0448 0.2500
Cu: 0.2465 0.7535 0.2500
Cu: 0.3880 0.6120 0.1043
Cu: 0.3880 0.6120 0.3957
Cu: 0.6120 0.3880 0.6043
Cu: 0.6120 0.3880 0.8957
Cu: 0.7535 0.2465 0.7500
Pt: 0.0000 0.0000 0.0000
Pt: 0.0000 0.0000 0.5000

spin magnetization: 0.00 μB per formula unit
calculated volume: 284.9 Å³/cell

(2)
Tb3Pm3Sc5 | PBE-GGA | optimized geometry

Lattice parameters (Å, degrees): 9.0471 9.0471 5.4398 90.00 90.00 120.00
Element x y z (fractional)
Tb: 0.0000 0.3807 0.0000
Tb: 0.3807 0.0000 0.0000
Tb: 0.6193 0.6193 0.0000
Pm: 0.0000 0.6185 0.5000
Pm: 0.3815 0.3815 0.5000
Pm: 0.6185 0.0000 0.5000
Sc: 0.0000 0.2421 0.5000
Sc: 0.2421 0.0000 0.5000
Sc: 0.3333 0.6667 0.5000
Sc: 0.6667 0.3333 0.5000
Sc: 0.7579 0.7579 0.5000

spin magnetization: 0.02 μB per formula unit
calculated volume: 385.6 Å³/cell

ΔH_f (0 K) readings, ordered: -0.490, 0.803 eV/atom